[1]
Computed, not measured: a relaxed structure of AcEuGdAl at the PBE level of DFT.

## Properties
volume = 126.3 Å³/f.u.
density = 7.41 g cm⁻³
formation energy = -11 meV per atom
spin magnetization = 3.84 μB per atom

Structure (CIF):
```
data_AcEuGdAl
_chemical_formula_sum 'Ac4 Eu4 Gd4 Al4'
_cell_length_a 7.964
_cell_length_b 7.964
_cell_length_c 7.964
_cell_angle_alpha 90.00
_cell_angle_beta 90.00
_cell_angle_gamma 90.00
_symmetry_space_group_name_H-M 'F -4 3 m'
_symmetry_Int_Tables_number 216
_symmetry_space_group_name_Hall 'F -4 2 3'
loop_
_atom_site_label
_atom_site_type_symbol
_atom_site_fract_x
_atom_site_fract_y
_atom_site_fract_z
_atom_site_occupancy
Ac1 Ac 0.000 0.000 0.000 1
Eu1 Eu 0.250 0.250 0.750 1
Gd1 Gd 0.000 0.000 0.500 1
Al1 Al 0.250 0.250 0.250 1
```



[2]
Computed, not measured: a relaxed structure of AcEuMgAl at the PBE level of DFT.

## Properties
volume = 124.5 Å³/f.u.
density = 5.74 g cm⁻³
formation energy = -160 meV per atom
spin magnetization = 1.85 μB per atom

Structure (CIF):
```
data_AcEuMgAl
_chemical_formula_sum 'Ac4 Eu4 Mg4 Al4'
_cell_length_a 7.927
_cell_length_b 7.927
_cell_length_c 7.927
_cell_angle_alpha 90.00
_cell_angle_beta 90.00
_cell_angle_gamma 90.00
_symmetry_space_group_name_H-M 'F -4 3 m'
_symmetry_Int_Tables_number 216
_symmetry_space_group_name_Hall 'F -4 2 3'
loop_
_atom_site_label
_atom_site_type_symbol
_atom_site_fract_x
_atom_site_fract_y
_atom_site_fract_z
_atom_site_occupancy
Ac1 Ac 0.000 0.000 0.000 1
Eu1 Eu 0.000 0.000 0.500 1
Mg1 Mg 0.250 0.250 0.250 1
Al1 Al 0.250 0.250 0.750 1
```



[3]
Computed, not measured: a relaxed structure of AcNdEuAl at the PBE level of DFT.

## Properties
volume = 129.8 Å³/f.u.
density = 7.04 g cm⁻³
formation energy = 77 meV per atom
spin magnetization = 1.94 μB per atom

Structure (CIF):
```
data_AcNdEuAl
_chemical_formula_sum 'Ac4 Nd4 Eu4 Al4'
_cell_length_a 8.038
_cell_length_b 8.038
_cell_length_c 8.038
_cell_angle_alpha 90.00
_cell_angle_beta 90.00
_cell_angle_gamma 90.00
_symmetry_space_group_name_H-M 'F -4 3 m'
_symmetry_Int_Tables_number 216
_symmetry_space_group_name_Hall 'F -4 2 3'
loop_
_atom_site_label
_atom_site_type_symbol
_atom_site_fract_x
_atom_site_fract_y
_atom_site_fract_z
_atom_site_occupancy
Ac1 Ac 0.000 0.000 0.000 1
Nd1 Nd 0.250 0.250 0.750 1
Eu1 Eu 0.250 0.250 0.250 1
Al1 Al 0.000 0.000 0.500 1
```



[4]
Computed, not measured: a relaxed structure of AcEuAlPb at the PBE level of DFT.

## Properties
volume = 127.9 Å³/f.u.
density = 7.96 g cm⁻³
formation energy = -331 meV per atom
spin magnetization = 1.79 μB per atom

Structure (CIF):
```
data_AcEuAlPb
_chemical_formula_sum 'Ac4 Eu4 Al4 Pb4'
_cell_length_a 7.997
_cell_length_b 7.997
_cell_length_c 7.997
_cell_angle_alpha 90.00
_cell_angle_beta 90.00
_cell_angle_gamma 90.00
_symmetry_space_group_name_H-M 'F -4 3 m'
_symmetry_Int_Tables_number 216
_symmetry_space_group_name_Hall 'F -4 2 3'
loop_
_atom_site_label
_atom_site_type_symbol
_atom_site_fract_x
_atom_site_fract_y
_atom_site_fract_z
_atom_site_occupancy
Ac1 Ac 0.000 0.000 0.000 1
Eu1 Eu 0.000 0.000 0.500 1
Al1 Al 0.250 0.250 0.750 1
Pb1 Pb 0.250 0.250 0.250 1
```



[5]
Computed, not measured: a relaxed structure of AcEuAlPd at the PBE level of DFT.

## Properties
volume = 110.5 Å³/f.u.
density = 7.70 g cm⁻³
formation energy = -391 meV per atom
spin magnetization = 1.74 μB per atom

Structure (CIF):
```
data_AcEuAlPd
_chemical_formula_sum 'Ac4 Eu4 Al4 Pd4'
_cell_length_a 7.617
_cell_length_b 7.617
_cell_length_c 7.617
_cell_angle_alpha 90.00
_cell_angle_beta 90.00
_cell_angle_gamma 90.00
_symmetry_space_group_name_H-M 'F -4 3 m'
_symmetry_Int_Tables_number 216
_symmetry_space_group_name_Hall 'F -4 2 3'
loop_
_atom_site_label
_atom_site_type_symbol
_atom_site_fract_x
_atom_site_fract_y
_atom_site_fract_z
_atom_site_occupancy
Ac1 Ac 0.000 0.000 0.000 1
Eu1 Eu 0.000 0.000 0.500 1
Al1 Al 0.250 0.250 0.750 1
Pd1 Pd 0.250 0.250 0.250 1
```



[6]
Computed, not measured: a relaxed structure of AcPmEuAl at the PBE level of DFT.

## Properties
volume = 128.7 Å³/f.u.
density = 7.11 g cm⁻³
formation energy = 80 meV per atom
spin magnetization = 1.94 μB per atom

Structure (CIF):
```
data_AcPmEuAl
_chemical_formula_sum 'Ac4 Pm4 Eu4 Al4'
_cell_length_a 8.016
_cell_length_b 8.016
_cell_length_c 8.016
_cell_angle_alpha 90.00
_cell_angle_beta 90.00
_cell_angle_gamma 90.00
_symmetry_space_group_name_H-M 'F -4 3 m'
_symmetry_Int_Tables_number 216
_symmetry_space_group_name_Hall 'F -4 2 3'
loop_
_atom_site_label
_atom_site_type_symbol
_atom_site_fract_x
_atom_site_fract_y
_atom_site_fract_z
_atom_site_occupancy
Ac1 Ac 0.000 0.000 0.000 1
Pm1 Pm 0.250 0.250 0.750 1
Eu1 Eu 0.250 0.250 0.250 1
Al1 Al 0.000 0.000 0.500 1
```



[7]
Computed, not measured: a relaxed structure of AcPrEuAl at the PBE level of DFT.

## Properties
volume = 131.0 Å³/f.u.
density = 6.93 g cm⁻³
formation energy = 75 meV per atom
spin magnetization = 1.95 μB per atom

Structure (CIF):
```
data_AcPrEuAl
_chemical_formula_sum 'Ac4 Pr4 Eu4 Al4'
_cell_length_a 8.062
_cell_length_b 8.062
_cell_length_c 8.062
_cell_angle_alpha 90.00
_cell_angle_beta 90.00
_cell_angle_gamma 90.00
_symmetry_space_group_name_H-M 'F -4 3 m'
_symmetry_Int_Tables_number 216
_symmetry_space_group_name_Hall 'F -4 2 3'
loop_
_atom_site_label
_atom_site_type_symbol
_atom_site_fract_x
_atom_site_fract_y
_atom_site_fract_z
_atom_site_occupancy
Ac1 Ac 0.000 0.000 0.000 1
Pr1 Pr 0.250 0.250 0.250 1
Eu1 Eu 0.250 0.250 0.750 1
Al1 Al 0.000 0.000 0.500 1
```



[8]
Computed, not measured: a relaxed structure of AcEuAlPt at the PBE level of DFT.

## Properties
volume = 108.1 Å³/f.u.
density = 9.23 g cm⁻³
formation energy = -519 meV per atom
spin magnetization = 1.75 μB per atom

Structure (CIF):
```
data_AcEuAlPt
_chemical_formula_sum 'Ac4 Eu4 Al4 Pt4'
_cell_length_a 7.562
_cell_length_b 7.562
_cell_length_c 7.562
_cell_angle_alpha 90.00
_cell_angle_beta 90.00
_cell_angle_gamma 90.00
_symmetry_space_group_name_H-M 'F -4 3 m'
_symmetry_Int_Tables_number 216
_symmetry_space_group_name_Hall 'F -4 2 3'
loop_
_atom_site_label
_atom_site_type_symbol
_atom_site_fract_x
_atom_site_fract_y
_atom_site_fract_z
_atom_site_occupancy
Ac1 Ac 0.000 0.000 0.000 1
Eu1 Eu 0.000 0.000 0.500 1
Al1 Al 0.250 0.250 0.250 1
Pt1 Pt 0.250 0.250 0.750 1
```



[9]
Computed, not measured: a relaxed structure of AcEuAlSn at the PBE level of DFT.

## Properties
volume = 123.8 Å³/f.u.
density = 7.04 g cm⁻³
formation energy = -405 meV per atom
spin magnetization = 1.78 μB per atom

Structure (CIF):
```
data_AcEuAlSn
_chemical_formula_sum 'Ac4 Eu4 Al4 Sn4'
_cell_length_a 7.912
_cell_length_b 7.912
_cell_length_c 7.912
_cell_angle_alpha 90.00
_cell_angle_beta 90.00
_cell_angle_gamma 90.00
_symmetry_space_group_name_H-M 'F -4 3 m'
_symmetry_Int_Tables_number 216
_symmetry_space_group_name_Hall 'F -4 2 3'
loop_
_atom_site_label
_atom_site_type_symbol
_atom_site_fract_x
_atom_site_fract_y
_atom_site_fract_z
_atom_site_occupancy
Ac1 Ac 0.000 0.000 0.000 1
Eu1 Eu 0.000 0.000 0.500 1
Al1 Al 0.250 0.250 0.250 1
Sn1 Sn 0.250 0.250 0.750 1
```



[10]
Computed, not measured: a relaxed structure of SrAcEuAl at the PBE level of DFT.

## Properties
volume = 143.0 Å³/f.u.
density = 5.73 g cm⁻³
formation energy = 43 meV per atom
spin magnetization = 1.87 μB per atom

Structure (CIF):
```
data_SrAcEuAl
_chemical_formula_sum 'Sr4 Ac4 Eu4 Al4'
_cell_length_a 8.302
_cell_length_b 8.302
_cell_length_c 8.302
_cell_angle_alpha 90.00
_cell_angle_beta 90.00
_cell_angle_gamma 90.00
_symmetry_space_group_name_H-M 'F -4 3 m'
_symmetry_Int_Tables_number 216
_symmetry_space_group_name_Hall 'F -4 2 3'
loop_
_atom_site_label
_atom_site_type_symbol
_atom_site_fract_x
_atom_site_fract_y
_atom_site_fract_z
_atom_site_occupancy
Sr1 Sr 0.000 0.000 0.000 1
Ac1 Ac 0.000 0.000 0.500 1
Eu1 Eu 0.250 0.250 0.250 1
Al1 Al 0.250 0.250 0.750 1
```



[11]
Computed, not measured: a relaxed structure of AcAlF5 at the PBE level of DFT.

## Properties
VASP energy = -5.93 eV per atom
volume = 111.2 Å³/f.u.
density = 5.21 g cm⁻³
spin magnetization = 0.04 μB per atom

Structure (CIF):
```
data_AcAlF5
_chemical_formula_sum 'Ac4 Al4 F20'
_cell_length_a 9.002
_cell_length_b 7.327
_cell_length_c 7.283
_cell_angle_alpha 90.00
_cell_angle_beta 112.20
_cell_angle_gamma 90.00
_symmetry_space_group_name_H-M 'C 1 2/c 1'
_symmetry_Int_Tables_number 15
loop_
_symmetry_equiv_pos_as_xyz
'x,y,z'
'-x,-y,-z'
'-x,y,-z+1/2'
'x,-y,z+1/2'
'x+1/2,y+1/2,z'
'-x+1/2,-y+1/2,-z'
'-x+1/2,y+1/2,-z+1/2'
'x+1/2,-y+1/2,z+1/2'
loop_
_atom_site_label
_atom_site_type_symbol
_atom_site_fract_x
_atom_site_fract_y
_atom_site_fract_z
_atom_site_occupancy
Ac1 Ac 0.000 0.014 0.250 1
Al1 Al 0.000 0.500 0.000 1
F1 F 0.000 0.412 0.250 1
F2 F 0.062 0.275 0.961 1
F3 F 0.207 0.430 0.618 1
```



[12]
Computed, not measured: a relaxed structure of Ac2AlF at the PBE level of DFT.

## Properties
volume = 114.7 Å³/f.u.
density = 7.24 g cm⁻³
ΔE to the lowest computed polymorph = 0.000 eV per atom
spin magnetization = 0.00 μB per atom

Structure (CIF):
```
data_Ac2AlF
_chemical_formula_sum 'Ac6 Al3 F3'
_cell_length_a 4.0884
_cell_length_b 4.0884
_cell_length_c 23.7659
_cell_angle_alpha 90.00
_cell_angle_beta 90.00
_cell_angle_gamma 120.00
_symmetry_space_group_name_H-M 'R -3 m'
_symmetry_Int_Tables_number 166
_symmetry_space_group_name_Hall '-R 3 2"'
loop_
_atom_site_label
_atom_site_type_symbol
_atom_site_fract_x
_atom_site_fract_y
_atom_site_fract_z
_atom_site_occupancy
Ac1 Ac 0.0000 0.0000 0.2369 1
Al1 Al 0.0000 0.0000 0.0000 1
F1 F 0.0000 0.0000 0.5000 1
```



Q: The lowest spin magnetization belongs to which entry?
A: Ac2AlF



Q: Number 6 is which compound?
A: AcPmEuAl



Copy entry 3 word for word.
Computed, not measured: a relaxed structure of AcNdEuAl at the PBE level of DFT.

## Properties
volume = 129.8 Å³/f.u.
density = 7.04 g cm⁻³
formation energy = 77 meV per atom
spin magnetization = 1.94 μB per atom

Structure (CIF):
```
data_AcNdEuAl
_chemical_formula_sum 'Ac4 Nd4 Eu4 Al4'
_cell_length_a 8.038
_cell_length_b 8.038
_cell_length_c 8.038
_cell_angle_alpha 90.00
_cell_angle_beta 90.00
_cell_angle_gamma 90.00
_symmetry_space_group_name_H-M 'F -4 3 m'
_symmetry_Int_Tables_number 216
_symmetry_space_group_name_Hall 'F -4 2 3'
loop_
_atom_site_label
_atom_site_type_symbol
_atom_site_fract_x
_atom_site_fract_y
_atom_site_fract_z
_atom_site_occupancy
Ac1 Ac 0.000 0.000 0.000 1
Nd1 Nd 0.250 0.250 0.750 1
Eu1 Eu 0.250 0.250 0.250 1
Al1 Al 0.000 0.000 0.500 1
```



Q: Look up the density of the twelfth one.
A: 7.24 g cm⁻³